{
  "formula": "CaMnF5",
  "functional": "PBE with a Hubbard U",
  "state": "relaxed",
  "dft_energy_ev_per_atom": -5.770,
  "space_group": "Immm, No. 71",
  "magnetic_moment_mub_per_fu": 4.00,
  "polymorph_energy_ev_per_fu": 0.19,
  "lattice": [[3.676, 0.000, 1.321], [1.508, 5.227, 1.579], [0.040, 0.026, 5.664]],
  "species": ["F", "Ca", "F", "F", "F", "F", "Mn"],
  "frac_coords": [[0.726, 0.274, 0.274], [0.000, 0.000, 0.000], [0.500, 0.803, 0.197], [0.500, 0.197, 0.803], [0.274, 0.726, 0.726], [0.000, 0.500, 0.500], [0.500, 0.500, 0.500]]
}